(1)
# Os2RuPt (PBE-GGA, relaxed)
data_Os2RuPt
_chemical_formula_sum 'Os2 Ru1 Pt1'
_space_group_name_H-M_alt 'P 1'
_space_group_IT_number 1
_space_group_name_Hall 'P 1'
_cell_length_a 4.750
_cell_length_b 4.750
_cell_length_c 4.746
_cell_angle_alpha 99.35
_cell_angle_beta 99.35
_cell_angle_gamma 33.34
loop_
_atom_site_label
_atom_site_type_symbol
_atom_site_fract_x
_atom_site_fract_y
_atom_site_fract_z
_atom_site_occupancy
Os1 Os 0.246 0.246 0.239 1
Os2 Os 0.754 0.754 0.761 1
Ru1 Ru 0.500 0.500 0.000 1
Pt1 Pt 0.000 0.000 0.500 1
# Energy relative to the elements in kJ per mole of atoms: 11
# Relative energy among the computed polymorphs in meV/atom: 29

(2)
# OsRu2Pt (PBE-GGA, relaxed)
data_OsRu2Pt
_chemical_formula_sum 'Os1 Ru2 Pt1'
_space_group_name_H-M_alt 'P 1'
_space_group_IT_number 1
_space_group_name_Hall 'P 1'
_cell_length_a 4.744
_cell_length_b 2.719
_cell_length_c 4.752
_cell_angle_alpha 90.00
_cell_angle_beta 110.11
_cell_angle_gamma 90.00
loop_
_atom_site_label
_atom_site_type_symbol
_atom_site_fract_x
_atom_site_fract_y
_atom_site_fract_z
_atom_site_occupancy
Os1 Os 0.000 0.000 0.000 1
Ru1 Ru 0.500 0.000 0.500 1
Ru2 Ru 0.500 0.500 0.000 1
Pt1 Pt 0.000 0.500 0.500 1
# Energy relative to the elements in kJ per mole of atoms: 11
# Relative energy among the computed polymorphs in meV/atom: 70

(3)
# Os2RuPt (PBE-GGA, relaxed)
data_Os2RuPt
_chemical_formula_sum 'Os2 Ru1 Pt1'
_space_group_name_H-M_alt 'P 1'
_space_group_IT_number 1
_space_group_name_Hall 'P 1'
_cell_length_a 4.768
_cell_length_b 4.768
_cell_length_c 4.768
_cell_angle_alpha 132.46
_cell_angle_beta 132.46
_cell_angle_gamma 69.50
loop_
_atom_site_label
_atom_site_type_symbol
_atom_site_fract_x
_atom_site_fract_y
_atom_site_fract_z
_atom_site_occupancy
Os1 Os 0.250 0.750 0.500 1
Os2 Os 0.750 0.250 0.500 1
Ru1 Ru 0.000 0.000 0.000 1
Pt1 Pt 0.500 0.500 0.000 1
# Energy relative to the elements in kJ per mole of atoms: 14
# Relative energy among the computed polymorphs in meV/atom: 66

(4)
# OsRu3Pt (PBE-GGA, relaxed)
data_OsRu3Pt
_chemical_formula_sum 'Os1 Ru3 Pt1'
_space_group_name_H-M_alt 'P 1'
_space_group_IT_number 1
_space_group_name_Hall 'P 1'
_cell_length_a 4.632
_cell_length_b 4.632
_cell_length_c 4.632
_cell_angle_alpha 90.00
_cell_angle_beta 90.00
_cell_angle_gamma 90.00
loop_
_atom_site_label
_atom_site_type_symbol
_atom_site_fract_x
_atom_site_fract_y
_atom_site_fract_z
_atom_site_occupancy
Os1 Os 0.000 0.000 0.000 1
Ru1 Ru 0.000 0.000 0.500 1
Ru2 Ru 0.000 0.500 0.000 1
Ru3 Ru 0.500 0.000 0.000 1
Pt1 Pt 0.500 0.500 0.500 1
# Energy relative to the elements in kJ per mole of atoms: 176
# Relative energy among the computed polymorphs in meV/atom: 0

(5)
# OsRu2Pt (PBE-GGA, relaxed)
data_OsRu2Pt
_chemical_formula_sum 'Os1 Ru2 Pt1'
_space_group_name_H-M_alt 'P 1'
_space_group_IT_number 1
_space_group_name_Hall 'P 1'
_cell_length_a 2.724
_cell_length_b 3.858
_cell_length_c 5.485
_cell_angle_alpha 90.00
_cell_angle_beta 90.00
_cell_angle_gamma 90.00
loop_
_atom_site_label
_atom_site_type_symbol
_atom_site_fract_x
_atom_site_fract_y
_atom_site_fract_z
_atom_site_occupancy
Os1 Os 0.000 0.000 0.000 1
Ru1 Ru 0.500 0.500 0.239 1
Ru2 Ru 0.500 0.500 0.761 1
Pt1 Pt 0.000 0.000 0.500 1
# Energy relative to the elements in kJ per mole of atoms: 5
# Relative energy among the computed polymorphs in meV/atom: 3

(6)
# Os6Ru12Pt (PBE-GGA, relaxed)
data_Os6Ru12Pt
_chemical_formula_sum 'Os6 Ru12 Pt1'
_space_group_name_H-M_alt 'P 1'
_space_group_IT_number 1
_space_group_name_Hall 'P 1'
_cell_length_a 6.648
_cell_length_b 6.648
_cell_length_c 6.648
_cell_angle_alpha 97.81
_cell_angle_beta 97.81
_cell_angle_gamma 97.81
loop_
_atom_site_label
_atom_site_type_symbol
_atom_site_fract_x
_atom_site_fract_y
_atom_site_fract_z
_atom_site_occupancy
Os1 Os 0.159 0.601 0.601 1
Os2 Os 0.399 0.399 0.841 1
Os3 Os 0.399 0.841 0.399 1
Os4 Os 0.601 0.159 0.601 1
Os5 Os 0.601 0.601 0.159 1
Os6 Os 0.841 0.399 0.399 1
Ru1 Ru 0.000 0.256 0.744 1
Ru2 Ru 0.000 0.744 0.256 1
Ru3 Ru 0.130 0.130 0.396 1
Ru4 Ru 0.130 0.396 0.130 1
Ru5 Ru 0.256 0.000 0.744 1
Ru6 Ru 0.256 0.744 0.000 1
Ru7 Ru 0.396 0.130 0.130 1
Ru8 Ru 0.604 0.870 0.870 1
Ru9 Ru 0.744 0.000 0.256 1
Ru10 Ru 0.744 0.256 0.000 1
Ru11 Ru 0.870 0.604 0.870 1
Ru12 Ru 0.870 0.870 0.604 1
Pt1 Pt 0.500 0.500 0.500 1
# Energy relative to the elements in kJ per mole of atoms: 29

(7)
# Os2RuPt (PBE-GGA, relaxed)
data_Os2RuPt
_chemical_formula_sum 'Os2 Ru1 Pt1'
_space_group_name_H-M_alt 'P 1'
_space_group_IT_number 1
_space_group_name_Hall 'P 1'
_cell_length_a 2.731
_cell_length_b 3.870
_cell_length_c 5.491
_cell_angle_alpha 90.00
_cell_angle_beta 90.00
_cell_angle_gamma 90.00
loop_
_atom_site_label
_atom_site_type_symbol
_atom_site_fract_x
_atom_site_fract_y
_atom_site_fract_z
_atom_site_occupancy
Os1 Os 0.000 0.000 0.000 1
Os2 Os 0.500 0.500 0.235 1
Ru1 Ru 0.500 0.500 0.756 1
Pt1 Pt 0.000 0.000 0.499 1
# Energy relative to the elements in kJ per mole of atoms: 9
# Relative energy among the computed polymorphs in meV/atom: 11

(8)
# OsRu2Pt (PBE-GGA, relaxed)
data_OsRu2Pt
_chemical_formula_sum 'Os1 Ru2 Pt1'
_space_group_name_H-M_alt 'P 1'
_space_group_IT_number 1
_space_group_name_Hall 'P 1'
_cell_length_a 4.750
_cell_length_b 4.747
_cell_length_c 3.843
_cell_angle_alpha 66.17
_cell_angle_beta 66.09
_cell_angle_gamma 47.74
loop_
_atom_site_label
_atom_site_type_symbol
_atom_site_fract_x
_atom_site_fract_y
_atom_site_fract_z
_atom_site_occupancy
Os1 Os 0.000 0.000 0.000 1
Ru1 Ru 0.500 0.500 0.500 1
Ru2 Ru 0.750 0.750 0.750 1
Pt1 Pt 0.250 0.250 0.250 1
# Energy relative to the elements in kJ per mole of atoms: 10
# Relative energy among the computed polymorphs in meV/atom: 57

(9)
# OsRu2Pt (PBE-GGA, relaxed)
data_OsRu2Pt
_chemical_formula_sum 'Os2 Ru4 Pt2'
_space_group_name_H-M_alt 'P 1'
_space_group_IT_number 1
_space_group_name_Hall 'P 1'
_cell_length_a 6.695
_cell_length_b 6.695
_cell_length_c 6.695
_cell_angle_alpha 130.09
_cell_angle_beta 130.09
_cell_angle_gamma 73.26
loop_
_atom_site_label
_atom_site_type_symbol
_atom_site_fract_x
_atom_site_fract_y
_atom_site_fract_z
_atom_site_occupancy
Os1 Os 0.000 0.000 0.000 1
Os2 Os 0.750 0.250 0.500 1
Ru1 Ru 0.113 0.625 0.988 1
Ru2 Ru 0.375 0.363 0.488 1
Ru3 Ru 0.637 0.125 0.012 1
Ru4 Ru 0.875 0.887 0.512 1
Pt1 Pt 0.250 0.750 0.500 1
Pt2 Pt 0.500 0.500 0.000 1
# Energy relative to the elements in kJ per mole of atoms: 105
# Relative energy among the computed polymorphs in meV/atom: 1046

(10)
# Os2Ru2Pt (PBE-GGA, relaxed)
data_Os2Ru2Pt
_chemical_formula_sum 'Os4 Ru4 Pt2'
_space_group_name_H-M_alt 'P 1'
_space_group_IT_number 1
_space_group_name_Hall 'P 1'
_cell_length_a 7.440
_cell_length_b 7.440
_cell_length_c 2.748
_cell_angle_alpha 90.00
_cell_angle_beta 90.00
_cell_angle_gamma 90.00
loop_
_atom_site_label
_atom_site_type_symbol
_atom_site_fract_x
_atom_site_fract_y
_atom_site_fract_z
_atom_site_occupancy
Os1 Os 0.124 0.376 0.000 1
Os2 Os 0.376 0.876 0.000 1
Os3 Os 0.624 0.124 0.000 1
Os4 Os 0.876 0.624 0.000 1
Ru1 Ru 0.168 0.668 0.500 1
Ru2 Ru 0.332 0.168 0.500 1
Ru3 Ru 0.668 0.832 0.500 1
Ru4 Ru 0.832 0.332 0.500 1
Pt1 Pt 0.000 0.000 0.000 1
Pt2 Pt 0.500 0.500 0.000 1
# Energy relative to the elements in kJ per mole of atoms: 28

(11)
# OsRu2Pt (PBE-GGA, relaxed)
data_OsRu2Pt
_chemical_formula_sum 'Os1 Ru2 Pt1'
_space_group_name_H-M_alt 'P 1'
_space_group_IT_number 1
_space_group_name_Hall 'P 1'
_cell_length_a 2.719
_cell_length_b 2.719
_cell_length_c 7.808
_cell_angle_alpha 90.00
_cell_angle_beta 90.00
_cell_angle_gamma 90.00
loop_
_atom_site_label
_atom_site_type_symbol
_atom_site_fract_x
_atom_site_fract_y
_atom_site_fract_z
_atom_site_occupancy
Os1 Os 0.000 0.000 0.000 1
Ru1 Ru 0.000 0.000 0.518 1
Ru2 Ru 0.500 0.500 0.759 1
Pt1 Pt 0.500 0.500 0.259 1
# Energy relative to the elements in kJ per mole of atoms: 10
# Relative energy among the computed polymorphs in meV/atom: 60

(12)
# Os3RuPt (PBE-GGA, relaxed)
data_Os3RuPt
_chemical_formula_sum 'Os3 Ru1 Pt1'
_space_group_name_H-M_alt 'P 1'
_space_group_IT_number 1
_space_group_name_Hall 'P 1'
_cell_length_a 4.605
_cell_length_b 4.605
_cell_length_c 4.605
_cell_angle_alpha 90.00
_cell_angle_beta 90.00
_cell_angle_gamma 90.00
loop_
_atom_site_label
_atom_site_type_symbol
_atom_site_fract_x
_atom_site_fract_y
_atom_site_fract_z
_atom_site_occupancy
Os1 Os 0.000 0.000 0.500 1
Os2 Os 0.000 0.500 0.000 1
Os3 Os 0.500 0.000 0.000 1
Ru1 Ru 0.000 0.000 0.000 1
Pt1 Pt 0.500 0.500 0.500 1
# Energy relative to the elements in kJ per mole of atoms: 232
# Relative energy among the computed polymorphs in meV/atom: 0

(13)
# OsRu2Pt2 (PBE-GGA, relaxed)
data_OsRu2Pt2
_chemical_formula_sum 'Os1 Ru2 Pt2'
_space_group_name_H-M_alt 'P 1'
_space_group_IT_number 1
_space_group_name_Hall 'P 1'
_cell_length_a 6.782
_cell_length_b 6.782
_cell_length_c 6.782
_cell_angle_alpha 149.09
_cell_angle_beta 149.09
_cell_angle_gamma 44.28
loop_
_atom_site_label
_atom_site_type_symbol
_atom_site_fract_x
_atom_site_fract_y
_atom_site_fract_z
_atom_site_occupancy
Os1 Os 0.000 0.000 0.000 1
Ru1 Ru 0.406 0.406 0.000 1
Ru2 Ru 0.594 0.594 0.000 1
Pt1 Pt 0.250 0.750 0.500 1
Pt2 Pt 0.750 0.250 0.500 1
# Energy relative to the elements in kJ per mole of atoms: 70
# Relative energy among the computed polymorphs in meV/atom: 174

(14)
# OsRu2Pt (PBE-GGA, relaxed)
data_OsRu2Pt
_chemical_formula_sum 'Os1 Ru2 Pt1'
_space_group_name_H-M_alt 'P 1'
_space_group_IT_number 1
_space_group_name_Hall 'P 1'
_cell_length_a 3.874
_cell_length_b 3.874
_cell_length_c 3.834
_cell_angle_alpha 90.00
_cell_angle_beta 90.00
_cell_angle_gamma 90.00
loop_
_atom_site_label
_atom_site_type_symbol
_atom_site_fract_x
_atom_site_fract_y
_atom_site_fract_z
_atom_site_occupancy
Os1 Os 0.000 0.000 0.000 1
Ru1 Ru 0.000 0.500 0.500 1
Ru2 Ru 0.500 0.000 0.500 1
Pt1 Pt 0.500 0.500 0.000 1
# Energy relative to the elements in kJ per mole of atoms: 11
# Relative energy among the computed polymorphs in meV/atom: 68

| no. | theoretical density (Mg/m³) | energy (Ha/atom) |
| --- | --- | --- |
| 1 | 19.4 | -0.34298 |
| 2 | 16.9 | -0.32492 |
| 3 | 19.4 | -0.34162 |
| 4 | 11.5 | -0.26455 |
| 5 | 16.9 | -0.32739 |
| 6 | 14.9 | -0.34627 |
| 7 | 19.4 | -0.34361 |
| 8 | 17.0 | -0.32540 |
| 9 | 11.4 | -0.28906 |
| 10 | 17.0 | -0.33511 |
| 11 | 16.9 | -0.32529 |
| 12 | 14.7 | -0.27169 |
| 13 | 15.8 | -0.28102 |
| 14 | 17.0 | -0.32501 |